# Tb2TiAs3Rh4 | the Alexandria database | PBE | optimized geometry
# - volume (A^3/atom) = 17.911
# - calculated formation energy (kcal/mol of atoms) = -22.04
# - density of states at the Fermi level (states/eV/atom) = 0.611
data_Tb2TiAs3Rh4
_chemical_formula_sum 'Tb2 Ti1 As3 Rh4'
_symmetry_space_group_name_H-M 'P 1'
_symmetry_Int_Tables_number 1
_cell_length_a 4.0531
_cell_length_b 4.0531
_cell_length_c 10.9032
_cell_angle_alpha 90.00
_cell_angle_beta 90.00
_cell_angle_gamma 90.00
loop_
_symmetry_equiv_pos_as_xyz
'x,y,z'
loop_
_atom_site_label
_atom_site_type_symbol
_atom_site_fract_x
_atom_site_fract_y
_atom_site_fract_z
Rh1 Rh 0.0000 0.5000 0.3610
Tb1 Tb 0.0000 0.5000 0.7688
Rh2 Rh 0.5000 0.5000 0.0000
Rh3 Rh 0.5000 0.0000 0.6390
Ti1 Ti 0.5000 0.5000 0.5000
As1 As 0.5000 0.0000 0.8615
Tb2 Tb 0.5000 0.0000 0.2312
As2 As 0.0000 0.0000 0.5000
Rh4 Rh 0.0000 0.0000 0.0000
As3 As 0.0000 0.5000 0.1385